No. 1
Computed, not measured: crystalline FeCoOF at its relaxed geometry at the GGA+U level of DFT.

M_tot: 1.503 μB per atom
symmetry: Imm2
calculated volume: 12.41 A^3/atom
relative energy among the computed polymorphs: 121 meV/atom

Lattice parameters (Å, degrees): 2.997 2.997 11.058 90.00 90.00 90.00
Last column: magnetic moment on the atom in μB.
Positions (direct):
1 Fe 0.500 0.500 0.968  3.64
2 Fe 0.000 0.000 0.468  3.64
3 Co 0.000 0.500 0.785  2.27
4 Co 0.500 0.000 0.285  2.27
5 O 0.500 0.500 0.435  0.09
6 O 0.000 0.000 0.935  0.09
7 F 0.500 0.500 0.161  0.05
8 F 0.000 0.000 0.661  0.05

***

No. 2
Computed, not measured: crystalline FeCoPbF6 at its relaxed geometry at the GGA+U level of DFT.

M_tot: 0.778 μB per atom
symmetry: P-31c
calculated volume: 15.28 A^3/atom
calculated total energy: -5.06 eV/atom

Lattice parameters (Å, degrees): 5.485 5.485 10.556 90.00 90.00 120.00
Last column: magnetic moment on the atom in μB.
Positions (direct):
1 F 0.004 0.640 0.856  0.05
2 F 0.360 0.996 0.644  0.05
3 F 0.640 0.636 0.144  0.05
4 F 0.640 0.004 0.356  0.05
5 F 0.636 0.640 0.644  0.05
6 F 0.996 0.360 0.144  0.05
7 F 0.636 0.996 0.856  0.05
8 F 0.364 0.004 0.144  0.05
9 F 0.996 0.636 0.356  0.05
10 F 0.004 0.364 0.644  0.05
11 F 0.364 0.360 0.356  0.05
12 F 0.360 0.364 0.856  0.05
13 Fe 0.333 0.667 0.250  3.84
14 Fe 0.667 0.333 0.750  3.84
15 Co 0.667 0.333 0.250  2.77
16 Co 0.333 0.667 0.750  2.77
17 Pb 0.000 0.000 0.500  0.01
18 Pb 0.000 0.000 0.000  0.01

***

No. 3
Computed, not measured: crystalline RbFe2CoF8 at its relaxed geometry at the GGA+U level of DFT.

M_tot: 1.000 μB per atom
symmetry: P-1
calculated volume: 14.45 A^3/atom
calculated total energy: -5.01 eV/atom

Lattice parameters (Å, degrees): 5.163 5.048 6.664 89.33 89.40 86.59
Last column: magnetic moment on the atom in μB.
Positions (direct):
1 Fe 0.500 0.500 0.237  4.18
2 Fe 0.500 0.500 0.763  4.18
3 F 0.683 0.713 0.999  0.09
4 F 0.376 0.315 0.503  0.08
5 F 0.210 0.762 0.803  0.08
6 F 0.624 0.685 0.497  0.08
7 F 0.790 0.238 0.197  0.08
8 F 0.795 0.244 0.802  0.08
9 F 0.205 0.756 0.198  0.08
10 F 0.317 0.287 0.001  0.09
11 Co 0.000 0.000 0.000  2.82
12 Rb 0.000 0.000 0.500  0.00

***

No. 4
Computed, not measured: crystalline FeCo2RuF at its relaxed geometry at the GGA+U level of DFT.

M_tot: 1.838 μB per atom
symmetry: P4/mmm
calculated volume: 13.65 A^3/atom
calculated total energy: -5.05 eV/atom

Lattice parameters (Å, degrees): 4.085 4.090 4.085 90.00 90.00 90.00
Last column: magnetic moment on the atom in μB.
Positions (direct):
1 Co 0.000 0.000 0.500  2.15
2 Co 0.500 0.000 0.000  2.08
3 Fe 0.000 0.500 0.000  3.70
4 F 0.000 0.000 0.000  0.08
5 Ru 0.500 0.500 0.500  1.37

***

No. 5
Computed, not measured: crystalline FeCo2SiF at its relaxed geometry at the GGA+U level of DFT.

M_tot: 1.400 μB per atom
symmetry: P4/mmm
calculated volume: 13.99 A^3/atom
calculated total energy: -4.14 eV/atom

Lattice parameters (Å, degrees): 4.106 4.151 4.106 90.00 90.00 90.00
Last column: magnetic moment on the atom in μB.
Positions (direct):
1 Co 0.000 0.000 0.500  2.03
2 Co 0.500 0.000 0.000  1.90
3 Fe 0.500 0.500 0.500  3.40
4 Si 0.000 0.500 0.000  -0.04
5 F 0.000 0.000 0.000  0.03

***

No. 6
Computed, not measured: crystalline FeCoSnF6 at its relaxed geometry at the GGA+U level of DFT.

M_tot: 0.333 μB per atom
symmetry: P-31c
calculated volume: 14.53 A^3/atom
calculated total energy: -4.84 eV/atom

Lattice parameters (Å, degrees): 5.401 5.401 10.352 90.00 90.00 120.00
Last column: magnetic moment on the atom in μB.
Positions (direct):
1 F 0.361 0.000 0.142  -0.04
2 F 0.361 0.000 0.642  -0.04
3 F 0.000 0.361 0.642  -0.04
4 F 0.000 0.639 0.358  -0.04
5 F 0.361 0.361 0.358  -0.04
6 F 0.000 0.361 0.142  -0.04
7 F 0.639 0.000 0.858  -0.04
8 F 0.000 0.639 0.858  -0.04
9 F 0.361 0.361 0.858  -0.04
10 F 0.639 0.639 0.142  -0.04
11 F 0.639 0.000 0.358  -0.04
12 F 0.639 0.639 0.642  -0.04
13 Fe 0.667 0.333 0.750  0.01
14 Fe 0.333 0.667 0.250  0.01
15 Co 0.333 0.667 0.750  -2.76
16 Co 0.667 0.333 0.250  -2.76
17 Sn 0.000 0.000 0.500  -0.01
18 Sn 0.000 0.000 0.000  -0.01

***

No. 7
Computed, not measured: crystalline SrFeCo2F8 at its relaxed geometry at the GGA+U level of DFT.

M_tot: 0.833 μB per atom
symmetry: P2/m
calculated volume: 14.01 A^3/atom
calculated total energy: -5.32 eV/atom

Lattice parameters (Å, degrees): 4.978 5.011 6.740 89.97 89.99 88.90
Last column: magnetic moment on the atom in μB.
Positions (direct):
1 F 0.302 0.299 0.000  0.07
2 F 0.665 0.675 0.500  0.05
3 F 0.335 0.325 0.500  0.05
4 F 0.211 0.785 0.777  0.04
5 F 0.790 0.216 0.777  0.04
6 F 0.698 0.701 0.000  0.07
7 F 0.210 0.784 0.223  0.04
8 F 0.789 0.215 0.223  0.04
9 Fe 0.000 0.000 0.000  3.82
10 Sr 0.000 0.000 0.500  0.00
11 Co 0.500 0.500 0.761  2.80
12 Co 0.500 0.500 0.239  2.80

***

No. 8
Computed, not measured: crystalline TlFeCo2F8 at its relaxed geometry at the GGA+U level of DFT.

M_tot: 0.799 μB per atom
symmetry: P2/m
calculated volume: 13.91 A^3/atom
calculated total energy: -4.83 eV/atom

Lattice parameters (Å, degrees): 4.986 4.967 6.742 89.99 89.99 89.65
Last column: magnetic moment on the atom in μB.
Positions (direct):
1 Fe 0.000 0.000 0.000  3.83
2 F 0.786 0.215 0.221  0.02
3 F 0.697 0.699 0.000  0.07
4 F 0.213 0.785 0.221  0.02
5 F 0.668 0.670 0.500  0.01
6 F 0.787 0.215 0.779  0.02
7 F 0.332 0.330 0.500  0.01
8 F 0.303 0.301 0.000  0.07
9 F 0.214 0.785 0.779  0.02
10 Co 0.500 0.500 0.761  2.79
11 Co 0.500 0.500 0.239  2.79
12 Tl 0.000 0.000 0.500  -0.17

***

No. 9
Computed, not measured: crystalline Ga2CoF8 at its relaxed geometry at the GGA+U level of DFT.

M_tot: 0.273 μB per atom
symmetry: P-1
calculated volume: 12.47 A^3/atom
relative energy among the computed polymorphs: 3 meV/atom

Lattice parameters (Å, degrees): 3.970 6.311 6.316 119.92 90.03 89.99
Last column: magnetic moment on the atom in μB.
Positions (direct):
1 F 0.260 0.667 0.333  0.00
2 F 0.754 0.834 0.665  0.02
3 F 0.246 0.666 0.832  0.02
4 F 0.246 0.166 0.335  0.02
5 F 0.246 0.168 0.834  0.02
6 F 0.740 0.333 0.667  0.00
7 F 0.754 0.832 0.166  0.02
8 F 0.754 0.334 0.168  0.02
9 Ga 0.762 0.667 0.333  0.01
10 Ga 0.238 0.333 0.667  0.01
11 Co 0.000 0.000 0.000  2.81

***

No. 10
Computed, not measured: crystalline Ga2CoF8 at its relaxed geometry at the GGA+U level of DFT.

M_tot: 0.273 μB per atom
symmetry: C2/m
calculated volume: 11.76 A^3/atom
relative energy among the computed polymorphs: 0 meV/atom

Lattice parameters (Å, degrees): 5.086 5.156 5.156 78.74 99.71 99.71
Last column: magnetic moment on the atom in μB.
Positions (direct):
1 F 0.314 0.955 0.329  0.02
2 F 0.818 0.193 0.193  0.03
3 F 0.686 0.671 0.045  0.02
4 F 0.686 0.045 0.671  0.02
5 F 0.314 0.329 0.955  0.02
6 F 0.182 0.807 0.807  0.03
7 F 0.735 0.557 0.557  0.00
8 F 0.265 0.443 0.443  0.00
9 Ga 0.456 0.688 0.688  0.01
10 Ga 0.544 0.312 0.312  0.01
11 Co 0.000 0.000 0.000  2.80

***

No. 11
Computed, not measured: crystalline GaCo2F2 at its relaxed geometry at the GGA+U level of DFT.

M_tot: 0.872 μB per atom
symmetry: I4/mmm
calculated volume: 14.93 A^3/atom
relative energy among the computed polymorphs: 223 meV/atom

Lattice parameters (Å, degrees): 3.292 3.292 7.269 76.91 76.91 90.00
Last column: magnetic moment on the atom in μB.
Positions (direct):
1 Co 0.750 0.250 0.500  2.18
2 Co 0.250 0.750 0.500  2.18
3 F 0.391 0.391 0.218  0.01
4 F 0.609 0.609 0.782  0.01
5 Ga 0.000 0.000 0.000  0.01

***

No. 12
Computed, not measured: crystalline GaCoF4 at its relaxed geometry at the GGA+U level of DFT.

M_tot: 0.348 μB per atom
symmetry: P-42c
calculated volume: 15.33 A^3/atom
calculated total energy: -4.49 eV/atom

Lattice parameters (Å, degrees): 6.084 6.084 4.968 90.00 90.00 90.00
Last column: magnetic moment on the atom in μB.
Positions (direct):
1 Ga 0.000 0.500 0.250  0.01
2 Ga 0.500 0.000 0.750  0.01
3 Co 0.000 0.000 0.500  2.10
4 Co 0.000 0.000 0.000  2.10
5 F 0.685 0.149 0.529  0.00
6 F 0.315 0.149 0.971  0.00
7 F 0.315 0.851 0.529  0.00
8 F 0.685 0.851 0.971  0.00
9 F 0.149 0.315 0.471  0.00
10 F 0.851 0.315 0.029  0.00
11 F 0.851 0.685 0.471  0.00
12 F 0.149 0.685 0.029  0.00